Entry from the Alexandria database: a relaxed Ce3Si8Os3 crystal (PBE-GGA).

Geometry as POSCAR:
```
Ce3Si8Os3
1.0
4.1512 0.0000 0.0000
2.0756 7.5924 -0.4895
2.0756 1.5960 7.4388
Ce Si Os
3 8 3
Direct
0.5000 0.5000 0.5000
0.8118 0.1882 0.1882
0.1882 0.8118 0.8118
0.6228 0.0917 0.6628
0.3772 0.9083 0.3372
0.6228 0.6628 0.0917
0.3772 0.3372 0.9083
0.8358 0.7982 0.5301
0.1642 0.2018 0.4699
0.8358 0.5301 0.7982
0.1642 0.4699 0.2018
0.5000 0.0000 0.0000
0.0000 0.7854 0.2146
0.0000 0.2146 0.7854
```

Electronic total energy = -0.534 Ry/atom
Calculated density = 8.49 g/cm3
Space group = Immm
M_tot = 0.0 μB per formula unit



Entry from the Alexandria database: a relaxed Ce2SiOs2 crystal (PBE-GGA).

Geometry as POSCAR:
```
Ce2SiOs2
1.0
-2.8476 -1.5031 4.6722
-0.0875 -5.3209 1.9693
5.4354 -0.0589 5.6334
Ce Si Os
4 2 4
Direct
0.5028 0.2019 0.1448
0.7981 0.4972 0.3552
0.4972 0.7981 0.8552
0.2019 0.5028 0.6448
0.1001 0.8999 0.2500
0.8999 0.1001 0.7500
0.7202 0.0215 0.5253
0.9785 0.2798 0.9747
0.2798 0.9785 0.4747
0.0215 0.7202 0.0253
```

Electronic total energy = -0.618 Ry/atom
Calculated density = 11.25 g/cm3
Space group = C2/c
M_tot = 0.0 μB per formula unit



Entry from the Alexandria database: a relaxed Ce3Si4Os crystal (PBE-GGA).

Geometry as POSCAR:
```
Ce3Si4Os
1.0
4.4336 0.0000 0.0000
0.0000 6.0349 0.0000
-2.2168 -3.0175 6.6706
Ce Si Os
3 4 1
Direct
0.1747 0.1747 0.3494
0.8253 0.8253 0.6506
0.0000 0.5000 0.0000
0.3791 0.5781 0.7582
0.6209 0.4219 0.2418
0.6209 0.8199 0.2418
0.3791 0.1801 0.7582
0.5000 0.0000 0.0000
```

Electronic total energy = -0.502 Ry/atom
Calculated density = 6.73 g/cm3
Space group = Immm
M_tot = 0.4 μB per formula unit



Entry from the Alexandria database: a relaxed Ce2Si5Os crystal (PBE-GGA).

Geometry as POSCAR:
```
Ce2Si5Os
1.0
-3.0700 -4.5333 -2.1014
2.4784 -3.5233 3.9794
-2.9575 4.9241 1.8807
Ce Si Os
2 5 1
Direct
0.2663 0.7663 0.5326
0.7663 0.2663 0.5326
0.7214 0.3005 0.0218
0.3005 0.3005 0.0218
0.7214 0.7214 0.0218
0.3005 0.7214 0.0218
0.7175 0.7175 0.4350
0.9832 0.9832 0.9664
```

Electronic total energy = -0.500 Ry/atom
Calculated density = 6.71 g/cm3
Space group = I4mm
M_tot = 1.0 μB per formula unit